No. 1
A geometry-optimized Na2SrTaSe4 structure, computed with GGA-PBE.

Geometry as CIF:
```
data_Na2SrTaSe4
_cell_length_a 7.200
_cell_length_b 7.200
_cell_length_c 9.879
_cell_angle_alpha 90.00
_cell_angle_beta 90.00
_cell_angle_gamma 90.00
_symmetry_space_group_name_H-M 'I -4'
_symmetry_Int_Tables_number 82
loop_
_symmetry_equiv_pos_as_xyz
'x,y,z'
'y,-x,-z'
'-x,-y,z'
'-y,x,-z'
'x+1/2,y+1/2,z+1/2'
'y+1/2,-x+1/2,-z+1/2'
'-x+1/2,-y+1/2,z+1/2'
'-y+1/2,x+1/2,-z+1/2'
loop_
_atom_site_label
_atom_site_type_symbol
_atom_site_fract_x
_atom_site_fract_y
_atom_site_fract_z
Na1 Na 0.000 0.000 0.000
Na2 Na 0.000 0.500 0.250
Sr1 Sr 0.000 0.000 0.500
Ta1 Ta 0.000 0.500 0.750
Se1 Se 0.213 0.731 0.853
```

No. 2
A geometry-optimized ScOsPd2 structure, computed with GGA-PBE.

Geometry as CIF:
```
data_ScOsPd2
_cell_length_a 3.877
_cell_length_b 3.877
_cell_length_c 18.474
_cell_angle_alpha 90.00
_cell_angle_beta 90.00
_cell_angle_gamma 90.00
_symmetry_space_group_name_H-M 'I -4 2 d'
_symmetry_Int_Tables_number 122
_symmetry_space_group_name_Hall 'I -4 2bw'
loop_
_atom_site_label
_atom_site_type_symbol
_atom_site_fract_x
_atom_site_fract_y
_atom_site_fract_z
Sc1 Sc 0.000 0.000 0.000
Os1 Os 0.000 0.000 0.500
Pd1 Pd 0.240 0.250 0.625
```

Properties
- energy above the most stable polymorph in this dataset (eV per atom) = 0.166
- energy of formation (eV/f.u.) = 0.36

No. 3
A geometry-optimized Fe2PRu structure, computed with GGA-PBE.

Geometry as CIF:
```
data_Fe2PRu
_cell_length_a 2.673
_cell_length_b 3.693
_cell_length_c 4.844
_cell_angle_alpha 90.00
_cell_angle_beta 104.99
_cell_angle_gamma 90.00
_symmetry_space_group_name_H-M 'P 1 2/m 1'
_symmetry_Int_Tables_number 10
loop_
_symmetry_equiv_pos_as_xyz
'x,y,z'
'-x,-y,-z'
'-x,y,-z'
'x,-y,z'
loop_
_atom_site_label
_atom_site_type_symbol
_atom_site_fract_x
_atom_site_fract_y
_atom_site_fract_z
Fe1 Fe 0.134 0.000 0.266
P1 P 0.500 0.500 0.500
Ru1 Ru 0.500 0.500 0.000
```

Properties
- energy of formation (eV/f.u.) = -0.31

Number 1: size of the total moment 2.056 μB/cell, uncorrected energy -4.78 eV/atom. Number 2: size of the total moment 0.000 μB/cell, uncorrected energy -6.90 eV/atom. Number 3: size of the total moment 0.000 μB/cell, uncorrected energy -7.98 eV/atom.